No. 1
## TbPaRu (PBE)

Data for a relaxed structure of TbPaRu.

Summary:
As for the space group: F-43m (216). The value obtained for the formation energy is -0.05 eV/f.u. The energy above the lowest structure with this stoichiometry comes out at 0.296 eV/atom.

abc: 4.760 4.760 4.760
angles: 60.00 60.00 60.00
Each line ends with the local moment (μB).
Fractional positions:
Ru 0.250 0.250 0.250  -0.05
Tb 0.500 0.500 0.500  0.12
Pa 0.000 0.000 0.000  0.64



No. 2
## TbPaRu (PBE)

Data for a relaxed structure of TbPaRu.

Summary:
As for the space group: P-6m2 (187). The value obtained for the formation energy is -0.14 eV/f.u. The energy above the lowest structure with this stoichiometry comes out at 0.266 eV/atom.

abc: 4.809 4.351 4.351
angles: 120.00 90.00 90.00
Fractional positions:
Tb 0.667 0.667 0.333
Ru 0.166 0.000 0.000
Pa 0.167 0.333 0.667



No. 3
## TbPaRu (PBE)

Data for a relaxed structure of TbPaRu.

Summary:
As for the space group: I4mm (107). The value obtained for the formation energy is -0.94 eV/f.u. The energy above the lowest structure with this stoichiometry comes out at 0.000 eV/atom.

abc: 3.522 3.522 6.057
angles: 106.90 106.90 90.00
Fractional positions:
Pa 0.302 0.302 0.604
Ru 0.695 0.695 0.391
Tb 0.003 0.003 0.005



No. 4
## TbPaRu2 (PBE)

Data for a relaxed structure of TbPaRu2.

Summary:
As for the space group: P4/mmm (123). The value obtained for the formation energy is -1.90 eV/f.u.

abc: 3.455 3.455 6.846
angles: 90.00 90.00 90.00
Fractional positions:
Ru 0.000 0.000 0.219
Ru 0.000 0.000 0.781
Tb 0.500 0.500 0.500
Pa 0.500 0.500 0.000